<a>
A plane-wave DFT calculation with PBE-GGA was carried out for a relaxed structure of LiGa2Br.

```
LiGa2Br
1.0
-1.5108 -0.0801 -3.9182
0.6494 -3.3656 -2.4320
-11.1753 -5.3779 4.3790
Br Ga Li
2 4 2
Direct
0.0212 0.0654 0.5137 Br
0.6870 0.7384 0.2563 Br
0.3520 0.3957 0.9883 Ga
0.3538 0.3982 0.7249 Ga
0.6866 0.7307 0.8248 Ga
0.0197 0.0632 0.9038 Ga
0.3537 0.4057 0.2080 Li
0.6883 0.7323 0.4576 Li
```

Summary:
Crystal system   triclinic



<b>
A plane-wave DFT calculation with PBE-GGA was carried out for a relaxed structure of LiGa2Br.

```
LiGa2Br
1.0
-3.1409 1.4030 -1.9852
-2.2613 -0.4938 3.2318
1.5544 12.9468 4.4692
Ga Br Li
4 2 2
Direct
0.0611 0.5356 0.7734 Ga
0.0163 0.9878 0.9451 Ga
0.5160 0.4876 0.9451 Ga
0.5613 0.0355 0.7734 Ga
0.7928 0.6823 0.2529 Br
0.2324 0.1206 0.4673 Br
0.2627 0.6516 0.3603 Li
0.7625 0.1515 0.3599 Li
```

Summary:
Crystal system   triclinic



Most stable one: <a>, least stable one: <b>.



<a>
A plane-wave DFT calculation with PBE-GGA was carried out for a relaxed structure of LiGa2Br.

```
LiGa2Br
1.0
4.0715 0.0026 -0.0104
2.0347 3.6859 -0.0151
0.2554 -0.0884 13.1156
Li Ga Br
2 4 2
Direct
0.3680 0.7913 0.8708 Li
0.6765 0.1519 0.1346 Li
0.3295 0.8026 0.4781 Ga
0.6647 0.1405 0.3901 Ga
0.9984 0.4582 0.5755 Ga
0.9957 0.4869 0.3052 Ga
0.0450 0.4440 0.8103 Br
0.3534 0.8049 0.0694 Br
```

Summary:
Crystal system   triclinic



<b>
A plane-wave DFT calculation with PBE-GGA was carried out for a relaxed structure of LiGa2Br.

```
LiGa2Br
1.0
8.3257 0.0000 -0.1181
0.0000 5.2586 0.0000
-1.6123 0.0000 5.0031
Li Ga Br
2 4 2
Direct
0.9932 0.0000 0.8569 Li
0.9932 0.5000 0.3569 Li
0.4951 0.7500 0.6088 Ga
0.4951 0.2500 0.1088 Ga
0.4951 0.7500 0.1088 Ga
0.4951 0.2500 0.6088 Ga
0.9935 0.5000 0.8574 Br
0.9935 0.0000 0.3574 Br
```

Summary:
Crystal system   monoclinic



<c>
A plane-wave DFT calculation with PBE-GGA was carried out for a relaxed structure of LiGa2Br.

```
LiGa2Br
1.0
3.4584 -0.0010 -0.0117
0.0009 3.5129 -0.0013
1.5002 0.0147 7.6242
Li Ga Br
1 2 1
Direct
0.3629 0.3606 0.8329 Li
0.6313 0.8553 0.3205 Ga
0.0606 0.3551 0.4899 Ga
0.8132 0.8600 0.9444 Br
```

Summary:
Crystal system   triclinic



<d>
A plane-wave DFT calculation with PBE-GGA was carried out for a relaxed structure of LiGa2Br.

```
LiGa2Br
1.0
8.4455 0.0000 0.0000
0.0000 8.4455 0.0000
4.2228 4.2228 2.6371
Br Ga Li
2 4 2
Direct
0.0000 0.0000 0.0000 Br
0.7500 0.2500 0.5000 Br
0.6008 0.1250 0.2500 Ga
0.3750 0.3992 0.7500 Ga
0.8750 0.8508 0.7500 Ga
0.1492 0.6250 0.2500 Ga
0.5000 0.5000 0.0000 Li
0.2500 0.7500 0.5000 Li
```

Summary:
Crystal system   tetragonal



Most stable one: <a>, least stable one: <d>.



<a>
A plane-wave DFT calculation with PBE-GGA was carried out for a relaxed structure of LiGa2Br.

```
LiGa2Br
1.0
13.4802 0.0000 0.0574
0.0000 4.1256 0.0000
-0.3478 0.0000 7.3623
Br Li Ga
4 4 8
Direct
0.8132 0.0000 0.6858 Br
0.8132 0.5000 0.1858 Br
0.0612 0.0000 0.0332 Br
0.0612 0.5000 0.5332 Br
0.1040 0.5000 0.2077 Li
0.1040 0.0000 0.7077 Li
0.8657 0.0000 0.0188 Li
0.8657 0.5000 0.5188 Li
0.4879 0.5000 0.5925 Ga
0.3198 0.5000 0.2404 Ga
0.5805 0.5000 0.2691 Ga
0.4879 0.0000 0.0925 Ga
0.3198 0.0000 0.7404 Ga
0.5805 0.0000 0.7691 Ga
0.4018 0.0000 0.4183 Ga
0.4018 0.5000 0.9183 Ga
```

Summary:
Crystal system   monoclinic



<b>
A plane-wave DFT calculation with PBE-GGA was carried out for a relaxed structure of LiGa2Br.

```
LiGa2Br
1.0
-4.0843 -0.9113 0.7736
3.0568 -2.6640 1.2945
2.3874 7.9522 10.6442
Li Ga Br
2 4 2
Direct
0.6234 0.0199 0.2788 Li
0.0614 0.7414 0.4412 Li
0.4347 0.9010 0.9882 Ga
0.0429 0.2046 0.8979 Ga
0.2685 0.8167 0.7310 Ga
0.6595 0.5126 0.8205 Ga
0.7516 0.0865 0.4772 Br
0.9330 0.6746 0.2425 Br
```

Summary:
Crystal system   triclinic



Most stable one: <b>, least stable one: <a>.



<a>
A plane-wave DFT calculation with PBE-GGA was carried out for a relaxed structure of LiGaBr2.

```
LiGaBr2
1.0
3.6468 0.0000 0.0000
0.0000 3.6468 0.0000
0.0000 0.0000 7.4774
Br Li Ga
2 1 1
Direct
0.0000 0.0000 0.2314 Br
0.0000 0.0000 0.7686 Br
0.5000 0.5000 0.0000 Li
0.5000 0.5000 0.5000 Ga
```

Summary:
Crystal system   tetragonal



<b>
A plane-wave DFT calculation with PBE-GGA was carried out for a relaxed structure of LiGaBr2.

```
LiGaBr2
1.0
2.4661 2.5741 3.8319
-2.7522 2.1769 3.8831
0.2026 -2.0412 4.8149
Ga Br Li
1 2 1
Direct
0.5000 0.5000 0.5000 Ga
0.7500 0.7500 0.7500 Br
0.2500 0.2500 0.2500 Br
0.0000 0.0000 0.0000 Li
```

Summary:
Crystal system   cubic



<c>
A plane-wave DFT calculation with PBE-GGA was carried out for a relaxed structure of LiGaBr2.

```
LiGaBr2
1.0
1.5726 7.5563 3.4594
5.1453 4.7613 4.7322
5.1036 6.7295 0.4519
Ga Br Li
1 2 1
Direct
0.5000 0.5000 0.5000 Ga
0.0973 0.0973 0.0973 Br
0.9027 0.9027 0.9027 Br
0.0000 0.0000 0.0000 Li
```

Summary:
Crystal system   trigonal



Most stable one: <c>, least stable one: <b>.



<a>
A plane-wave DFT calculation with PBE-GGA was carried out for a relaxed structure of LiGaBr2.

```
LiGaBr2
1.0
-1.6732 4.9942 -4.1800
-5.5433 -3.3574 -1.7925
-6.5804 3.4267 1.3198
Br Ga Li
4 2 2
Direct
0.3750 0.4356 0.7500 Br
0.8750 0.8144 0.7500 Br
0.1856 0.6250 0.2500 Br
0.5644 0.1250 0.2500 Br
0.0000 0.0000 0.0000 Ga
0.7500 0.2500 0.5000 Ga
0.5000 0.5000 0.0000 Li
0.2500 0.7500 0.5000 Li
```

Summary:
Crystal system   tetragonal



<b>
A plane-wave DFT calculation with PBE-GGA was carried out for a relaxed structure of LiGaBr2.

```
LiGaBr2
1.0
-2.5002 -3.2221 -0.4338
0.9776 -3.5988 1.7072
-12.2718 6.6789 21.1067
Br Ga Li
6 3 3
Direct
0.0052 0.6615 0.8913 Br
0.6615 0.3333 0.2246 Br
0.3385 0.9948 0.7754 Br
0.3333 0.0052 0.5580 Br
0.6667 0.3385 0.4420 Br
0.9948 0.6667 0.1087 Br
0.3351 0.0000 0.6667 Ga
0.6649 0.3351 0.3333 Ga
0.0000 0.6649 0.0000 Ga
0.6714 0.3286 0.8333 Li
0.3286 0.0000 0.1667 Li
0.0000 0.6714 0.5000 Li
```

Summary:
Crystal system   trigonal



Most stable one: <a>, least stable one: <b>.



<a>
A plane-wave DFT calculation with PBE-GGA was carried out for a relaxed structure of LiGa3Br.

```
LiGa3Br
1.0
4.8765 0.0000 0.0000
0.0000 4.8765 0.0000
0.0000 0.0000 4.8765
Ga Br Li
3 1 1
Direct
0.5000 0.0000 0.0000 Ga
0.0000 0.5000 0.0000 Ga
0.0000 0.0000 0.5000 Ga
0.5000 0.5000 0.5000 Br
0.0000 0.0000 0.0000 Li
```

Summary:
Crystal system   cubic



<b>
A plane-wave DFT calculation with PBE-GGA was carried out for a relaxed structure of LiGa3Br.

```
LiGa3Br
1.0
5.6115 0.0000 0.0000
0.0000 5.6115 0.0000
0.0000 0.0000 5.6115
Br Ga Li
1 3 1
Direct
0.0000 0.0000 0.0000 Br
0.0000 0.0000 0.5000 Ga
0.5000 0.0000 0.0000 Ga
0.0000 0.5000 0.0000 Ga
0.5000 0.5000 0.5000 Li
```

Summary:
Crystal system   cubic



Most stable one: <a>, least stable one: <b>.



<a>
A plane-wave DFT calculation with PBE-GGA was carried out for a relaxed structure of Li2Ga2Br7.

```
Li2Ga2Br7
1.0
6.8695 -0.9055 -1.0351
-1.4353 7.5286 0.2895
-1.4353 -0.7146 7.5002
Br Li Ga
7 2 2
Direct
0.5000 0.0000 0.0000 Br
0.7196 0.4275 0.4275 Br
0.1941 0.3897 0.0378 Br
0.2804 0.5725 0.5725 Br
0.1941 0.0378 0.3897 Br
0.8059 0.9622 0.6103 Br
0.8059 0.6103 0.9622 Br
0.0000 0.3157 0.6843 Li
0.0000 0.6843 0.3157 Li
0.6049 0.8013 0.8013 Ga
0.3951 0.1987 0.1987 Ga
```

Summary:
Crystal system   monoclinic



<b>
A plane-wave DFT calculation with PBE-GGA was carried out for a relaxed structure of Li2Ga2Br7.

```
Li2Ga2Br7
1.0
6.8131 -0.2257 0.0000
-1.4035 8.3946 0.0000
0.0000 0.0000 13.0957
Br Ga Li
14 4 4
Direct
0.9366 0.1747 0.2246 Br
0.3152 0.6254 0.4988 Br
0.4574 0.9791 0.3007 Br
0.3152 0.1254 0.0012 Br
0.6848 0.8746 0.9988 Br
0.5426 0.5209 0.8007 Br
0.5426 0.0209 0.6993 Br
0.0634 0.8253 0.7754 Br
0.6848 0.3746 0.5012 Br
0.0000 0.0000 0.5000 Br
0.0634 0.3253 0.7246 Br
0.0000 0.5000 0.0000 Br
0.4574 0.4791 0.1993 Br
0.9366 0.6747 0.2754 Br
0.8159 0.6797 0.8993 Ga
0.1841 0.8203 0.3993 Ga
0.1841 0.3203 0.1007 Ga
0.8159 0.1797 0.6007 Ga
0.7252 0.8658 0.1949 Li
0.2748 0.6343 0.6949 Li
0.7252 0.3658 0.3051 Li
0.2748 0.1343 0.8051 Li
```

Summary:
Crystal system   monoclinic



Most stable one: <b>, least stable one: <a>.



<a>
A plane-wave DFT calculation with PBE-GGA was carried out for a relaxed structure of Rb2LiGaBr6.

```
Rb2LiGaBr6
1.0
6.5620 0.0000 0.0000
0.0000 7.5720 0.0000
0.0000 -3.7860 6.5576
Rb Br Li Ga
2 6 1 1
Direct
0.7901 0.6667 0.3333 Rb
0.2099 0.3333 0.6667 Rb
0.7684 0.1590 0.8410 Br
0.2316 0.8410 0.1590 Br
0.2316 0.3180 0.1590 Br
0.7684 0.1590 0.3180 Br
0.7684 0.6820 0.8410 Br
0.2316 0.8410 0.6820 Br
0.5000 0.0000 0.0000 Li
0.0000 0.0000 0.0000 Ga
```

Summary:
Crystal system   trigonal



<b>
A plane-wave DFT calculation with PBE-GGA was carried out for a relaxed structure of Rb2LiGaBr6.

```
Rb2LiGaBr6
1.0
7.5775 0.0000 0.0000
0.0000 7.5775 0.0000
3.7887 3.7887 5.3710
Rb Li Br Ga
2 1 6 1
Direct
0.7500 0.2500 0.5000 Rb
0.2500 0.7500 0.5000 Rb
0.5000 0.5000 0.0000 Li
0.2410 0.7590 0.0000 Br
0.2399 0.2399 0.5202 Br
0.7590 0.7590 0.0000 Br
0.2410 0.2410 0.0000 Br
0.7590 0.2410 0.0000 Br
0.7601 0.7601 0.4798 Br
0.0000 0.0000 0.0000 Ga
```

Summary:
Crystal system   tetragonal



Most stable one: <a>, least stable one: <b>.



<a>
A plane-wave DFT calculation with PBE-GGA was carried out for a relaxed structure of LiGaSe2Br.

```
LiGaSe2Br
1.0
-4.5216 -0.2021 -1.9914
1.9892 -1.0010 -4.4151
-0.2535 -5.5088 1.1348
Se Ga Br Li
2 1 1 1
Direct
0.5000 0.0000 0.0000 Se
0.0000 0.5000 0.0000 Se
0.0000 0.0000 0.0000 Ga
0.0000 0.0000 0.5000 Br
0.5000 0.5000 0.5000 Li
```

Summary:
Crystal system   tetragonal



<b>
A plane-wave DFT calculation with PBE-GGA was carried out for a relaxed structure of LiGaSe2Br.

```
LiGaSe2Br
1.0
-4.3882 0.6802 0.5809
0.2064 -2.0602 3.9711
1.3444 6.0514 3.0695
Se Ga Li Br
2 1 1 1
Direct
0.5000 0.0000 0.0000 Se
0.0000 0.5000 0.0000 Se
0.5000 0.5000 0.5000 Ga
0.0000 0.0000 0.0000 Li
0.0000 0.0000 0.5000 Br
```

Summary:
Crystal system   tetragonal



Most stable one: <a>, least stable one: <b>.



<a>
A plane-wave DFT calculation with PBE-GGA was carried out for a relaxed structure of MgGaBr3.

```
MgGaBr3
1.0
-3.3347 3.4775 -2.2594
-0.5556 -3.2478 -4.1787
-4.1097 -2.3826 2.3984
Br Ga Mg
3 1 1
Direct
0.0000 0.5000 0.0000 Br
0.0000 0.0000 0.5000 Br
0.5000 0.0000 0.0000 Br
0.0000 0.0000 0.0000 Ga
0.5000 0.5000 0.5000 Mg
```

Summary:
Crystal system   cubic



<b>
A plane-wave DFT calculation with PBE-GGA was carried out for a relaxed structure of MgGaBr3.

```
MgGaBr3
1.0
-2.8328 3.0804 -1.6996
-0.3621 -4.0828 -6.7965
-7.7530 -3.7872 6.0584
Mg Ga Br
2 2 6
Direct
0.7500 0.8756 0.8382 Mg
0.2500 0.1244 0.1618 Mg
0.2500 0.2830 0.5725 Ga
0.7500 0.7170 0.4275 Ga
0.2500 0.8158 0.9521 Br
0.7500 0.1842 0.0479 Br
0.2500 0.4290 0.3311 Br
0.2500 0.9507 0.3284 Br
0.7500 0.5710 0.6689 Br
0.7500 0.0493 0.6716 Br
```

Summary:
Crystal system   monoclinic



Most stable one: <b>, least stable one: <a>.